#w
TbSmEr4: relaxed, GGA-PBE.

a = 5.397 Å, b = 5.396 Å, c = 7.708 Å
α = 90.00°, β = 90.00°, γ = 90.00°
Atoms (fractional coordinates):
Tb 0.501 0.497 0.998
Sm 0.001 0.997 0.498
Er 0.501 0.997 0.245
Er 0.501 0.997 0.751
Er 0.001 0.497 0.751
Er 0.001 0.497 0.245

Values from the calculation:
Symmetry: No. 123


#x
TbSmEr4: relaxed, GGA-PBE.

a = 6.549 Å, b = 6.549 Å, c = 6.549 Å
α = 60.00°, β = 60.00°, γ = 60.00°
Each line ends with the local moment (μB).
Atoms (fractional coordinates):
Tb 0.000 0.000 0.000  0.11
Sm 0.250 0.250 0.250  0.32
Er 0.625 0.625 0.124  0.07
Er 0.625 0.124 0.625  0.07
Er 0.625 0.625 0.625  0.07
Er 0.124 0.625 0.625  0.07

Values from the calculation:
Symmetry: No. 216


#y
TbSmEr4: relaxed, GGA-PBE.

a = 3.423 Å, b = 5.790 Å, c = 9.825 Å
α = 90.00°, β = 90.00°, γ = 90.06°
Atoms (fractional coordinates):
Tb 0.497 0.501 0.002
Sm 0.997 0.001 0.502
Er 0.997 0.501 0.691
Er 0.997 0.501 0.313
Er 0.497 0.001 0.189
Er 0.497 0.001 0.815

Values from the calculation:
Symmetry: No. 47


Most favorable structure: #y. The second most favorable one is 7.9 kJ/mol of atoms above it.


#w
TbSm4Er2: relaxed, GGA-PBE.

a = 6.201 Å, b = 6.584 Å, c = 11.585 Å
α = 90.00°, β = 105.16°, γ = 90.00°
Atoms (fractional coordinates):
Tb 0.155 0.750 0.163
Tb 0.845 0.250 0.837
Sm 0.649 0.507 0.286
Sm 0.035 0.750 0.862
Sm 0.965 0.250 0.138
Sm 0.649 0.993 0.286
Sm 0.852 0.250 0.551
Sm 0.351 0.007 0.714
Sm 0.351 0.493 0.714
Sm 0.148 0.750 0.449
Er 0.607 0.750 0.997
Er 0.393 0.250 0.003
Er 0.290 0.250 0.426
Er 0.710 0.750 0.574

Values from the calculation:
Symmetry: No. 11


#x
TbSm4Er2: relaxed, GGA-PBE.

a = 12.458 Å, b = 12.458 Å, c = 6.759 Å
α = 97.04°, β = 97.04°, γ = 150.11°
Atoms (fractional coordinates):
Tb 0.425 0.675 0.500
Tb 0.675 0.425 0.000
Sm 0.711 0.174 0.863
Sm 0.174 0.711 0.363
Sm 0.185 0.795 0.895
Sm 0.795 0.185 0.395
Sm 0.040 0.149 0.605
Sm 0.562 0.599 0.138
Sm 0.599 0.562 0.638
Sm 0.149 0.040 0.105
Er 0.620 0.301 0.449
Er 0.921 0.102 0.051
Er 0.102 0.921 0.551
Er 0.301 0.620 0.949

Values from the calculation:
Symmetry: No. 43


Most favorable structure: #x. The second most favorable one is 7.2 kJ/mol of atoms above it.


#w
Tb2Sm6Er3: relaxed, GGA-PBE.

a = 4.753 Å, b = 4.753 Å, c = 17.063 Å
α = 98.01°, β = 98.01°, γ = 90.00°
Atoms (fractional coordinates):
Tb 0.455 0.455 0.909
Tb 0.545 0.545 0.091
Sm 0.121 0.621 0.242
Sm 0.621 0.121 0.242
Sm 0.879 0.379 0.758
Sm 0.379 0.879 0.758
Sm 0.699 0.699 0.398
Sm 0.301 0.301 0.602
Er 0.000 0.000 0.000
Er 0.801 0.801 0.603
Er 0.199 0.199 0.397

Values from the calculation:
Symmetry: No. 139


#x
Tb2Sm6Er3: relaxed, GGA-PBE.

a = 6.082 Å, b = 8.452 Å, c = 15.525 Å
α = 45.14°, β = 73.71°, γ = 108.08°
Atoms (fractional coordinates):
Tb 0.459 0.270 0.186
Tb 0.541 0.730 0.814
Sm 0.828 0.400 0.905
Sm 0.942 0.445 0.648
Sm 0.172 0.600 0.095
Sm 0.058 0.555 0.352
Sm 0.655 0.821 0.544
Sm 0.345 0.179 0.456
Er 0.000 0.000 0.000
Er 0.745 0.902 0.277
Er 0.255 0.098 0.723

Values from the calculation:
Symmetry: No. 2


Most favorable structure: #x. The second most favorable one is 20.8 kJ/mol of atoms above it.


#w
Tb2Sm4Er3: relaxed, GGA-PBE.

a = 5.967 Å, b = 10.210 Å, c = 10.210 Å
α = 69.79°, β = 83.91°, γ = 83.91°
Atoms (fractional coordinates):
Tb 0.208 0.710 0.496
Tb 0.292 0.504 0.290
Tb 0.792 0.290 0.504
Tb 0.708 0.496 0.710
Sm 0.545 0.046 0.827
Sm 0.955 0.173 0.954
Sm 0.455 0.954 0.173
Sm 0.045 0.827 0.046
Sm 0.620 0.838 0.619
Sm 0.880 0.381 0.162
Sm 0.380 0.162 0.381
Sm 0.120 0.619 0.838
Er 0.082 0.984 0.681
Er 0.418 0.319 0.016
Er 0.918 0.016 0.319
Er 0.582 0.681 0.984
Er 0.250 0.349 0.651
Er 0.750 0.651 0.349

Values from the calculation:
Symmetry: No. 15


#x
Tb2Sm4Er3: relaxed, GGA-PBE.

a = 7.034 Å, b = 12.021 Å, c = 12.021 Å
α = 47.96°, β = 54.21°, γ = 54.21°
Atoms (fractional coordinates):
Tb 0.319 0.151 0.530
Tb 0.181 0.470 0.849
Tb 0.681 0.849 0.470
Tb 0.819 0.530 0.151
Sm 0.468 0.851 0.181
Sm 0.032 0.819 0.149
Sm 0.532 0.149 0.819
Sm 0.968 0.181 0.851
Sm 0.848 0.181 0.471
Sm 0.652 0.529 0.819
Sm 0.152 0.819 0.529
Sm 0.348 0.471 0.181
Er 0.912 0.169 0.169
Er 0.588 0.831 0.831
Er 0.088 0.831 0.831
Er 0.412 0.169 0.169
Er 0.250 0.500 0.500
Er 0.750 0.500 0.500

Values from the calculation:
Symmetry: No. 66


Most favorable structure: #x. The second most favorable one is 4.0 kJ/mol of atoms above it.


#w
TbSm3Er6: relaxed, GGA-PBE.

a = 6.205 Å, b = 10.925 Å, c = 10.925 Å
α = 119.60°, β = 90.00°, γ = 90.00°
Atoms (fractional coordinates):
Tb 0.143 0.205 0.795
Tb 0.643 0.795 0.205
Sm 0.459 0.938 0.718
Sm 0.959 0.718 0.938
Sm 0.067 0.391 0.609
Sm 0.567 0.609 0.391
Sm 0.959 0.062 0.282
Sm 0.459 0.282 0.062
Er 0.037 0.712 0.617
Er 0.537 0.617 0.712
Er 0.367 0.538 0.959
Er 0.867 0.959 0.538
Er 0.408 0.954 0.046
Er 0.641 0.281 0.719
Er 0.141 0.719 0.281
Er 0.908 0.046 0.954
Er 0.367 0.041 0.462
Er 0.867 0.462 0.041
Er 0.037 0.383 0.288
Er 0.537 0.288 0.383

Values from the calculation:
Symmetry: No. 36


#x
TbSm3Er6: relaxed, GGA-PBE.

a = 6.485 Å, b = 9.544 Å, c = 6.519 Å
α = 110.52°, β = 120.03°, γ = 89.52°
Atoms (fractional coordinates):
Tb 0.500 0.500 0.000
Sm 0.858 0.309 0.867
Sm 0.142 0.691 0.133
Sm 0.000 0.000 0.000
Er 0.439 0.313 0.303
Er 0.993 0.687 0.553
Er 0.561 0.687 0.697
Er 0.007 0.313 0.447
Er 0.347 0.050 0.701
Er 0.653 0.950 0.299

Values from the calculation:
Symmetry: No. 2


Most favorable structure: #w. The second most favorable one is 1.8 kJ/mol of atoms above it.


#w
TbSm4Er6: relaxed, GGA-PBE.

a = 9.668 Å, b = 9.668 Å, c = 9.668 Å
α = 57.72°, β = 140.09°, γ = 140.09°
Atoms (fractional coordinates):
Tb 0.000 0.000 0.000
Sm 0.000 0.637 0.014
Sm 0.378 0.363 0.363
Sm 0.000 0.014 0.637
Sm 0.622 0.986 0.986
Er 0.000 0.806 0.448
Er 0.000 0.448 0.806
Er 0.357 0.552 0.552
Er 0.500 0.500 0.000
Er 0.643 0.194 0.194
Er 0.500 0.000 0.500

Values from the calculation:
Symmetry: No. 121


#x
TbSm4Er6: relaxed, GGA-PBE.

a = 7.654 Å, b = 7.654 Å, c = 8.462 Å
α = 116.89°, β = 116.89°, γ = 90.00°
Atoms (fractional coordinates):
Tb 0.500 0.500 0.000
Sm 0.097 0.751 0.848
Sm 0.903 0.903 0.152
Sm 0.751 0.097 0.848
Sm 0.249 0.249 0.152
Er 0.928 0.439 0.367
Er 0.439 0.928 0.367
Er 0.561 0.561 0.633
Er 0.000 0.500 0.000
Er 0.072 0.072 0.633
Er 0.500 0.000 0.000

Values from the calculation:
Symmetry: No. 121


Most favorable structure: #w. The second most favorable one is 15.0 kJ/mol of atoms above it.